[1]
VNi3Au, relaxed, DFT PBE-GGA; space group = Pm-3m (221); formation energy = 943.0 meV/atom; size of the total moment = 0.001 μB/cell; energy above the lowest structure with this stoichiometry = 0.0 meV/atom
1.0
4.2625 0.0000 0.0000
0.0000 4.2625 0.0000
0.0000 0.0000 4.2625
Ni Au V
3 1 1
direct
0.0000 0.5000 0.0000
0.5000 0.0000 0.0000
0.0000 0.0000 0.5000
0.5000 0.5000 0.5000
0.0000 0.0000 0.0000

[2]
V6Ni12Au, relaxed, DFT PBE-GGA; space group = R-3m (166); formation energy = 167.6 meV/atom; size of the total moment = 0.000 μB/cell
1.0
6.7822 -0.2595 -0.3654
-1.9326 6.5062 -0.3654
-1.9326 -2.4894 6.0222
V Ni Au
6 12 1
direct
0.6937 0.6937 0.2381
0.2381 0.6937 0.6937
0.3063 0.3063 0.7619
0.7619 0.3063 0.3063
0.6937 0.2381 0.6937
0.3063 0.7619 0.3063
0.6162 0.8370 0.6162
0.3838 0.3838 0.1630
0.3838 0.1630 0.3838
0.6162 0.6162 0.8370
0.1630 0.3838 0.3838
0.1089 0.5000 0.8911
0.1089 0.8911 0.5000
0.8370 0.6162 0.6162
0.8911 0.5000 0.1089
0.5000 0.1089 0.8911
0.8911 0.1089 0.5000
0.5000 0.8911 0.1089
0.0000 0.0000 0.0000

[3]
VNi5Au, relaxed, DFT PBE-GGA; space group = P4/mmm (123); formation energy = -25.9 meV/atom; size of the total moment = 0.685 μB/cell
1.0
3.5196 0.0000 0.0000
0.0000 3.5196 0.0000
0.0000 0.0000 7.3872
Ni Au V
5 1 1
direct
0.0000 0.5000 0.7644
0.5000 0.0000 0.2356
0.0000 0.5000 0.2356
0.5000 0.0000 0.7644
0.0000 0.0000 0.0000
0.0000 0.0000 0.5000
0.5000 0.5000 0.0000

[4]
V2Ni2Au, relaxed, DFT PBE-GGA; space group = P4/mbm (127); formation energy = -91.0 meV/atom; size of the total moment = 0.000 μB/cell; energy above the lowest structure with this stoichiometry = 0.0 meV/atom
1.0
-4.0743 -1.8329 -5.4705
4.5302 -5.1633 -1.6441
-1.3451 -1.6782 1.5641
V Ni Au
4 4 2
direct
0.1692 0.6692 0.5000
0.8308 0.3308 0.5000
0.6692 0.8308 0.5000
0.3308 0.1692 0.5000
0.1245 0.3755 0.0000
0.6245 0.1245 0.0000
0.8755 0.6245 0.0000
0.3755 0.8755 0.0000
0.5000 0.5000 0.0000
0.0000 0.0000 0.0000